[1]
# ZnCdS2

A geometry-optimized ZnCdS2 structure (PBE, the Alexandria database).

Computed properties:
Crystal system = trigonal
Formation energy from raw total energies = -0.690 eV/atom
Size of the total moment = 0.00 μB/cell
Space-group type = No. 156

Cell: 4.006 4.006 6.628 Å, 90.00 90.00 120.00°
Sites, in units of the cell vectors:
S 0.000 0.000 0.354
Zn 0.000 0.000 0.000
Cd 0.333 0.667 0.506
S 0.333 0.667 0.892

[2]
# ZnCdS2

A geometry-optimized ZnCdS2 structure (PBE, the Alexandria database).

Computed properties:
Crystal system = orthorhombic
Formation energy from raw total energies = -0.704 eV/atom
Size of the total moment = 0.00 μB/cell
Space-group type = No. 31

Cell: 3.993 7.037 6.527 Å, 90.00 90.00 90.01°
Sites, in units of the cell vectors:
Cd 0.764 0.265 0.114
S 0.265 0.066 0.004
Zn 0.765 0.593 0.616
Cd 0.264 0.077 0.614
S 0.764 0.275 0.504
Zn 0.265 0.748 0.116
S 0.265 0.734 0.481
S 0.765 0.607 0.981

[3]
# ZnCdS3

A geometry-optimized ZnCdS3 structure (PBE, the Alexandria database).

Computed properties:
Crystal system = cubic
Energy above the most stable polymorph in this dataset = 0.0 kJ/mol of atoms
Formation energy from raw total energies = 0.375 eV/atom
Size of the total moment = 0.00 μB/cell
Space-group type = No. 221

Cell: 4.690 4.690 4.690 Å, 90.00 90.00 90.00°
Sites, in units of the cell vectors:
S 0.000 0.500 0.000
Cd 0.500 0.500 0.500
S 0.000 0.000 0.500
S 0.500 0.000 0.000
Zn 0.000 0.000 0.000

[4]
# ZnCdS2

A geometry-optimized ZnCdS2 structure (PBE, the Alexandria database).

Computed properties:
Crystal system = monoclinic
Formation energy from raw total energies = -0.565 eV/atom
Size of the total moment = 0.00 μB/cell
Space-group type = No. 15

Cell: 15.931 7.609 7.609 Å, 79.78 114.05 65.95°
Sites, in units of the cell vectors:
S 0.252 0.204 0.311
Zn 0.145 0.568 0.149
S 0.250 0.298 0.798
Zn 0.645 0.351 0.932
Cd 0.395 0.027 0.757
Cd 0.118 0.109 0.092
Cd 0.895 0.743 0.473
Zn 0.361 0.136 0.173
S 0.475 0.281 0.278
S 0.750 0.279 0.779
S 0.750 0.702 0.202
Zn 0.355 0.649 0.068
Cd 0.882 0.891 0.908
S 0.248 0.811 0.704
Zn 0.855 0.432 0.851
S 0.531 0.198 0.830
S 0.469 0.802 0.170
S 0.031 0.670 0.302
S 0.250 0.721 0.221
Zn 0.139 0.673 0.636
S 0.975 0.222 0.219
Zn 0.639 0.864 0.827
S 0.969 0.330 0.698
Cd 0.618 0.408 0.391
S 0.752 0.189 0.296
Cd 0.105 0.257 0.527
Cd 0.605 0.973 0.243
Zn 0.861 0.327 0.364
Cd 0.382 0.592 0.609
S 0.748 0.796 0.689
S 0.525 0.719 0.722
S 0.025 0.778 0.781

[5]
# ZnCdS2

A geometry-optimized ZnCdS2 structure (PBE, the Alexandria database).

Computed properties:
Crystal system = cubic
Formation energy from raw total energies = 0.104 eV/atom
Size of the total moment = 0.00 μB/cell
Space-group type = No. 225

Cell: 4.687 4.687 4.687 Å, 60.00 60.00 60.00°
Sites, in units of the cell vectors:
S 0.750 0.750 0.750
S 0.250 0.250 0.250
Zn 0.000 0.000 0.000
Cd 0.500 0.500 0.500

[6]
# ZnCdS2

A geometry-optimized ZnCdS2 structure (PBE, the Alexandria database).

Computed properties:
Crystal system = trigonal
Formation energy from raw total energies = -0.539 eV/atom
Size of the total moment = 0.00 μB/cell
Space-group type = No. 156

Cell: 3.897 3.897 6.571 Å, 90.00 90.00 120.00°
Sites, in units of the cell vectors:
Zn 0.000 0.000 0.942
S 0.333 0.667 0.824
S 0.667 0.333 0.253
Cd 0.333 0.667 0.435

[7]
# ZnCdS2

A geometry-optimized ZnCdS2 structure (PBE, the Alexandria database).

Computed properties:
Crystal system = trigonal
Formation energy from raw total energies = -0.692 eV/atom
Size of the total moment = 0.00 μB/cell
Space-group type = No. 160

Cell: 7.014 7.014 7.014 Å, 33.20 33.20 33.20°
Sites, in units of the cell vectors:
S 0.631 0.631 0.631
Zn 0.000 0.000 0.000
Cd 0.502 0.502 0.502
S 0.118 0.118 0.118

[8]
# ZnCdS2

A geometry-optimized ZnCdS2 structure (PBE, the Alexandria database).

Computed properties:
Crystal system = monoclinic
Formation energy from raw total energies = -0.563 eV/atom
Size of the total moment = 0.00 μB/cell
Space-group type = No. 15

Cell: 16.569 7.572 7.572 Å, 99.43 120.67 59.33°
Sites, in units of the cell vectors:
Cd 0.386 0.070 0.175
S 0.974 0.833 0.712
Zn 0.357 0.636 0.545
Cd 0.891 0.453 0.978
Zn 0.359 0.145 0.647
Cd 0.109 0.547 0.022
Zn 0.143 0.045 0.136
S 0.026 0.167 0.288
S 0.250 0.295 0.795
S 0.753 0.786 0.715
S 0.531 0.689 0.226
Zn 0.141 0.147 0.645
Cd 0.391 0.522 0.047
Cd 0.614 0.930 0.825
Cd 0.114 0.675 0.570
S 0.750 0.310 0.810
Zn 0.859 0.853 0.355
Cd 0.609 0.478 0.953
S 0.474 0.788 0.667
S 0.526 0.212 0.333
Zn 0.641 0.855 0.353
S 0.250 0.690 0.190
S 0.031 0.274 0.811
S 0.969 0.726 0.189
S 0.469 0.311 0.774
S 0.750 0.705 0.205
S 0.247 0.214 0.285
S 0.747 0.215 0.286
Cd 0.886 0.325 0.430
Zn 0.643 0.364 0.455
S 0.253 0.785 0.714
Zn 0.857 0.955 0.864

[9]
# ZnCdS2

A geometry-optimized ZnCdS2 structure (PBE, the Alexandria database).

Computed properties:
Crystal system = monoclinic
Formation energy from raw total energies = -0.489 eV/atom
Size of the total moment = 0.00 μB/cell
Space-group type = No. 15

Cell: 6.508 5.542 5.542 Å, 89.34 115.82 64.18°
Sites, in units of the cell vectors:
S 0.218 0.136 0.116
Zn 0.250 0.692 0.192
S 0.782 0.864 0.884
S 0.282 0.616 0.636
Zn 0.750 0.308 0.808
S 0.718 0.384 0.364
Cd 0.750 0.865 0.365
Cd 0.250 0.135 0.635

[10]
# ZnCdS2

A geometry-optimized ZnCdS2 structure (PBE, the Alexandria database).

Computed properties:
Crystal system = tetragonal
Formation energy from raw total energies = -0.446 eV/atom
Size of the total moment = 0.00 μB/cell
Space-group type = No. 123

Cell: 3.768 3.768 5.320 Å, 90.00 90.00 90.00°
Sites, in units of the cell vectors:
Zn 0.000 0.000 0.500
Cd 0.500 0.500 0.000
S 0.500 0.500 0.500
S 0.000 0.000 0.000

[11]
# ZnCd2S2

A geometry-optimized ZnCd2S2 structure (PBE, the Alexandria database).

Computed properties:
Crystal system = tetragonal
Energy above the most stable polymorph in this dataset = 3.8 kJ/mol of atoms
Formation energy from raw total energies = -0.088 eV/atom
Size of the total moment = 0.00 μB/cell
Space-group type = No. 127

Cell: 7.409 7.409 4.093 Å, 90.00 90.00 90.00°
Sites, in units of the cell vectors:
S 0.722 0.222 0.000
S 0.778 0.722 0.000
Cd 0.628 0.872 0.500
Cd 0.128 0.628 0.500
S 0.278 0.778 0.000
Cd 0.372 0.128 0.500
S 0.222 0.278 0.000
Zn 0.500 0.500 0.000
Zn 0.000 0.000 0.000
Cd 0.872 0.372 0.500

[12]
# ZnCdS2

A geometry-optimized ZnCdS2 structure (PBE, the Alexandria database).

Computed properties:
Crystal system = monoclinic
Formation energy from raw total energies = -0.630 eV/atom
Size of the total moment = 0.00 μB/cell
Space-group type = No. 11

Cell: 21.779 4.104 9.930 Å, 90.00 151.61 90.00°
Sites, in units of the cell vectors:
Cd 0.138 0.250 0.812
Zn 0.027 0.250 0.176
S 0.128 0.750 0.305
Cd 0.862 0.750 0.188
S 0.372 0.250 0.195
Zn 0.527 0.250 0.676
Cd 0.362 0.750 0.688
Zn 0.973 0.750 0.824
Zn 0.473 0.750 0.324
S 0.536 0.750 0.223
S 0.464 0.250 0.777
S 0.872 0.250 0.695
S 0.036 0.750 0.723
S 0.628 0.750 0.805
Cd 0.638 0.250 0.312
S 0.964 0.250 0.277

Final energy values, unit eV per atom, following the record order: -3.30 -3.31 -2.54 -3.18 -2.51 -3.15 -3.30 -3.17 -3.10 -3.06 -2.36 -3.24.